No. 1
# CaTcRu2, optimized geometry, DFT PBE
# Energy relative to the elements   0.37 eV/atom
# Total moment   0.00 μB/f.u.
# VASP energy   -7.3556 eV/atom
data_CaTcRu2
_chemical_formula_sum 'Ca2 Tc2 Ru4'
_cell_length_a 10.849
_cell_length_b 2.842
_cell_length_c 4.810
_cell_angle_alpha 90.00
_cell_angle_beta 115.97
_cell_angle_gamma 90.00
_symmetry_space_group_name_H-M 'C 1 m 1'
_symmetry_Int_Tables_number 8
_symmetry_space_group_name_Hall 'C -2y'
loop_
_atom_site_label
_atom_site_fract_x
_atom_site_fract_y
_atom_site_fract_z
Ca1 0.000 0.000 0.000
Tc1 0.286 0.500 0.219
Ru1 0.006 0.500 0.521
Ru2 0.226 0.000 0.623

=====

No. 2
# La2CuSbF, optimized geometry, DFT PBE
# ΔE_f (raw)   -867.8 meV/atom
# Total moment   0.00 μB/f.u.
# VASP energy   -4.8567 eV/atom
data_La2CuSbF
_chemical_formula_sum 'La2 Cu1 Sb1 F1'
_cell_length_a 4.839
_cell_length_b 4.839
_cell_length_c 5.462
_cell_angle_alpha 90.00
_cell_angle_beta 90.00
_cell_angle_gamma 90.00
_symmetry_space_group_name_H-M 'P 4/m m m'
_symmetry_Int_Tables_number 123
_symmetry_space_group_name_Hall '-P 4 2'
loop_
_atom_site_label
_atom_site_fract_x
_atom_site_fract_y
_atom_site_fract_z
La1 0.000 0.500 0.000
Cu1 0.000 0.000 0.500
Sb1 0.500 0.500 0.500
F1 0.500 0.500 0.000

=====

No. 3
# AuC2S2BrN4, optimized geometry, DFT PBE
# ΔE_f (raw)   615.6 meV/atom
# Total moment   0.00 μB/f.u.
# VASP energy   -5.8798 eV/atom
data_AuC2S2BrN4
_chemical_formula_sum 'Au4 C8 S8 Br4 N16'
_cell_length_a 6.731
_cell_length_b 22.411
_cell_length_c 6.211
_cell_angle_alpha 90.00
_cell_angle_beta 97.18
_cell_angle_gamma 90.00
_symmetry_space_group_name_H-M 'C 1 2/c 1'
_symmetry_Int_Tables_number 15
_symmetry_space_group_name_Hall '-C 2yc'
loop_
_atom_site_label
_atom_site_fract_x
_atom_site_fract_y
_atom_site_fract_z
Au1 0.000 0.000 0.000
C1 0.246 0.177 0.396
S1 0.014 0.103 0.556
Br1 0.000 0.382 0.250
N1 0.236 0.282 0.718
N2 0.238 0.127 0.510

=====

No. 4
# Th4SnAu, optimized geometry, DFT PBE
# Energy relative to the elements   -0.40 eV/atom
# Total moment   0.00 μB/f.u.
# VASP energy   -6.5635 eV/atom
data_Th4SnAu
_chemical_formula_sum 'Th8 Sn2 Au2'
_cell_length_a 7.656
_cell_length_b 7.656
_cell_length_c 6.042
_cell_angle_alpha 90.00
_cell_angle_beta 90.00
_cell_angle_gamma 90.00
_symmetry_space_group_name_H-M 'P 4/m c c'
_symmetry_Int_Tables_number 124
_symmetry_space_group_name_Hall '-P 4 2c'
loop_
_atom_site_label
_atom_site_fract_x
_atom_site_fract_y
_atom_site_fract_z
Th1 0.150 0.339 0.000
Sn1 0.500 0.500 0.250
Au1 0.000 0.000 0.250

=====

No. 5
# Mg5Ru, optimized geometry, DFT PBE
# Energy relative to the elements   0.00 eV/atom
# Total moment   0.00 μB/f.u.
# VASP energy   -2.8713 eV/atom
data_Mg5Ru
_chemical_formula_sum 'Mg5 Ru1'
_cell_length_a 3.373
_cell_length_b 3.373
_cell_length_c 10.443
_cell_angle_alpha 90.00
_cell_angle_beta 90.00
_cell_angle_gamma 90.00
_symmetry_space_group_name_H-M 'P 4/m m m'
_symmetry_Int_Tables_number 123
_symmetry_space_group_name_Hall '-P 4 2'
loop_
_atom_site_label
_atom_site_fract_x
_atom_site_fract_y
_atom_site_fract_z
Mg1 0.000 0.000 0.000
Mg2 0.000 0.000 0.373
Mg3 0.500 0.500 0.197
Ru1 0.500 0.500 0.500

=====

No. 6
# AcLa5Au6, optimized geometry, DFT PBE
# Energy relative to the elements   -0.78 eV/atom
# Total moment   0.00 μB/f.u.
# VASP energy   -4.8111 eV/atom
data_AcLa5Au6
_chemical_formula_sum 'Ac1 La5 Au6'
_cell_length_a 5.407
_cell_length_b 7.542
_cell_length_c 8.527
_cell_angle_alpha 90.00
_cell_angle_beta 108.25
_cell_angle_gamma 90.00
_symmetry_space_group_name_H-M 'P 1 2/m 1'
_symmetry_Int_Tables_number 10
_symmetry_space_group_name_Hall '-P 2y'
loop_
_atom_site_label
_atom_site_fract_x
_atom_site_fract_y
_atom_site_fract_z
Ac1 0.000 0.000 0.000
La1 0.000 0.500 0.000
La2 0.333 0.000 0.667
La3 0.333 0.500 0.666
Au1 0.171 0.253 0.340
Au2 0.500 0.260 0.000

=====

No. 7
# Ac2YPd9, optimized geometry, DFT PBE
# Energy relative to the elements   -0.67 eV/atom
# Total moment   0.00 μB/f.u.
# VASP energy   -5.7851 eV/atom
data_Ac2YPd9
_chemical_formula_sum 'Ac6 Y3 Pd27'
_cell_length_a 5.4660
_cell_length_b 5.4660
_cell_length_c 27.7289
_cell_angle_alpha 90.00
_cell_angle_beta 90.00
_cell_angle_gamma 120.00
_symmetry_space_group_name_H-M 'R -3 m'
_symmetry_Int_Tables_number 166
_symmetry_space_group_name_Hall '-R 3 2"'
loop_
_atom_site_label
_atom_site_fract_x
_atom_site_fract_y
_atom_site_fract_z
Ac1 0.0000 0.0000 0.1362
Y1 0.0000 0.0000 0.0000
Pd1 0.0000 0.0000 0.3330
Pd2 0.0000 0.0000 0.5000
Pd3 0.0013 0.5006 0.9178

=====

No. 8
# Rb4NaHg4, optimized geometry, DFT PBE
# Energy relative to the elements   -0.11 eV/atom
# Total moment   0.00 μB/f.u.
# VASP energy   -0.8215 eV/atom
data_Rb4NaHg4
_chemical_formula_sum 'Rb8 Na2 Hg8'
_cell_length_a 7.692
_cell_length_b 7.692
_cell_length_c 15.165
_cell_angle_alpha 90.00
_cell_angle_beta 90.00
_cell_angle_gamma 90.00
_symmetry_space_group_name_H-M 'I -4 2 m'
_symmetry_Int_Tables_number 121
_symmetry_space_group_name_Hall 'I -4 2'
loop_
_atom_site_label
_atom_site_fract_x
_atom_site_fract_y
_atom_site_fract_z
Rb1 0.220 0.220 0.355
Na1 0.000 0.000 0.000
Hg1 0.243 0.243 0.108

=====

No. 9
# MgSbAs2, optimized geometry, DFT PBE
# ΔE_f (raw)   114.1 meV/atom
# Total moment   0.00 μB/f.u.
# VASP energy   -3.6399 eV/atom
data_MgSbAs2
_chemical_formula_sum 'Mg3 Sb3 As6'
_cell_length_a 3.2056
_cell_length_b 3.2056
_cell_length_c 29.2137
_cell_angle_alpha 90.00
_cell_angle_beta 90.00
_cell_angle_gamma 120.00
_symmetry_space_group_name_H-M 'R -3 m'
_symmetry_Int_Tables_number 166
_symmetry_space_group_name_Hall '-R 3 2"'
loop_
_atom_site_label
_atom_site_fract_x
_atom_site_fract_y
_atom_site_fract_z
Mg1 0.0000 0.0000 0.0000
Sb1 0.0000 0.0000 0.5000
As1 0.0000 0.0000 0.2592

=====

No. 10
# ErZn4Pt4, optimized geometry, DFT PBE
# Energy relative to the elements   -0.57 eV/atom
# Total moment   0.00 μB/f.u.
# VASP energy   -4.3318 eV/atom
data_ErZn4Pt4
_chemical_formula_sum 'Er2 Zn8 Pt8'
_cell_length_a 5.784
_cell_length_b 5.784
_cell_length_c 9.005
_cell_angle_alpha 90.00
_cell_angle_beta 90.00
_cell_angle_gamma 90.00
_symmetry_space_group_name_H-M 'P 42/n m c'
_symmetry_Int_Tables_number 137
loop_
_symmetry_equiv_pos_as_xyz
'x,y,z'
'-x,-y,-z'
'-y+1/2,x,z+1/2'
'y+1/2,-x,-z+1/2'
'-x+1/2,-y+1/2,z'
'x+1/2,y+1/2,-z'
'y,-x+1/2,z+1/2'
'-y,x+1/2,-z+1/2'
'x+1/2,-y,-z'
'-x+1/2,y,z'
'-y,-x,-z+1/2'
'y,x,z+1/2'
'-x,y+1/2,-z'
'x,-y+1/2,z'
'y+1/2,x+1/2,-z+1/2'
'-y+1/2,-x+1/2,z+1/2'
loop_
_atom_site_label
_atom_site_fract_x
_atom_site_fract_y
_atom_site_fract_z
Er1 0.250 0.750 0.250
Zn1 0.029 0.250 0.177
Pt1 0.010 0.250 0.473